A relaxed structure of Nb3ZnFe3O12F2. Source: Alexandria, functional PBE with a Hubbard U.

## Properties
As for the total magnetization: 14.99 μB per formula unit. The final energy is -7.40 eV/atom. Its space group is P1 (1). Its crystal system is triclinic.

POSCAR file:
```
Nb3ZnFe3O12F2
1.0
-2.361 4.096 -2.120
0.003 -1.298 -5.335
-10.070 -2.604 1.703
Nb O Zn Fe F
3 12 1 3 2
Direct
0.603 0.750 0.825
0.257 0.910 0.614
0.497 0.646 0.321
0.763 0.446 0.861
0.299 0.122 0.758
0.695 0.351 0.356
0.467 0.630 0.672
0.557 0.919 0.472
0.777 0.806 0.231
0.237 0.826 0.950
0.400 0.481 0.168
0.904 0.881 0.732
0.215 0.954 0.239
0.153 0.720 0.447
0.682 0.987 0.973
0.415 0.129 0.125
0.886 0.019 0.384
0.114 0.700 0.108
0.973 0.125 0.893
0.001 0.192 0.535
0.056 0.349 0.041
```